# 1
Entry from the Alexandria database: a geometry-optimized TbSc2Zn2Ga2 structure (GGA-PBE).

Structure (POSCAR):
```
TbSc2Zn2Ga2
1.0
2.1887 1.2636 8.5398
-2.1887 1.2636 8.5398
0.0000 -2.5273 8.5398
Tb Sc Zn Ga
1 2 2 2
direct
0.0000 0.0000 0.0000
0.1303 0.1303 0.1303
0.8697 0.8697 0.8697
0.4071 0.4071 0.4071
0.5929 0.5929 0.5929
0.2550 0.2550 0.2550
0.7450 0.7450 0.7450
```

The value obtained for the energy of formation from the pure elements is -409 meV per atom. As for the total energy: -4.109 eV per atom. The value obtained for the calculated volume is 142 Å³/cell.

# 2
Entry from the Alexandria database: a geometry-optimized TbScZnGa structure (GGA-PBE).

Structure (POSCAR):
```
TbScZnGa
1.0
0.0000 3.4713 3.4713
3.4713 0.0000 3.4713
3.4713 3.4713 0.0000
Tb Sc Zn Ga
1 1 1 1
direct
0.0000 0.0000 0.0000
0.5000 0.5000 0.5000
0.7500 0.7500 0.7500
0.2500 0.2500 0.2500
```

The value obtained for the energy of formation from the pure elements is -482 meV per atom. As for the total energy: -4.297 eV per atom. The value obtained for the calculated volume is 84 Å³/cell.

# 3
Entry from the Alexandria database: a geometry-optimized ScGa2Tc2 structure (GGA-PBE).

Structure (POSCAR):
```
ScGa2Tc2
1.0
7.1736 0.0000 0.0000
0.0000 7.1736 0.0000
0.0000 0.0000 3.1509
Sc Ga Tc
2 4 4
direct
0.0000 0.0000 0.0000
0.5000 0.5000 0.0000
0.1532 0.3468 0.5000
0.3468 0.8468 0.5000
0.6532 0.1532 0.5000
0.8468 0.6532 0.5000
0.1409 0.6409 0.0000
0.3591 0.1409 0.0000
0.6409 0.8591 0.0000
0.8591 0.3591 0.0000
```

Its distance to the lowest polymorph of the same formula is 190 meV per atom. The value obtained for the energy of formation from the pure elements is -124 meV per atom. As for the total energy: -6.747 eV per atom. The value obtained for the calculated volume is 162 Å³/cell.

# 4
Entry from the Alexandria database: a geometry-optimized ScGa4Tc structure (GGA-PBE).

Structure (POSCAR):
```
ScGa4Tc
1.0
6.1301 -3.1029 0.0000
6.1301 3.1029 0.0000
-2.3157 0.0000 5.5863
Sc Ga Tc
2 8 2
direct
0.2118 0.2118 0.3861
0.7882 0.7882 0.6139
0.1209 0.6597 0.3345
0.1919 0.8081 0.0000
0.3064 0.3064 0.9273
0.3403 0.8791 0.6655
0.6597 0.1209 0.3345
0.6936 0.6936 0.0727
0.8081 0.1919 0.0000
0.8791 0.3403 0.6655
0.4550 0.4550 0.7095
0.5450 0.5450 0.2905
```

Its distance to the lowest polymorph of the same formula is 0 meV per atom. The value obtained for the energy of formation from the pure elements is -263 meV per atom. As for the total energy: -5.064 eV per atom. The value obtained for the calculated volume is 213 Å³/cell.